No. 1
DFT (PBE) results for a relaxed NdHo4In2 crystal.

Lattice parameters (Å, degrees): 10.7642 6.7990 6.8258 119.87 90.00 90.00
Element x y z (fractional)
Nd1 0.0000 0.0000 0.0000
Nd2 0.5000 0.5000 0.0000
Ho1 0.8323 0.5000 0.0000
Ho2 0.7500 0.5000 0.5000
Ho3 0.7500 0.0000 0.5000
Ho4 0.6677 0.0000 0.0000
Ho5 0.3323 0.0000 0.0000
Ho6 0.2500 0.0000 0.5000
Ho7 0.2500 0.5000 0.5000
Ho8 0.1677 0.5000 0.0000
In1 0.0000 0.7205 0.4410
In2 0.0000 0.2795 0.5590
In3 0.5000 0.7795 0.5590
In4 0.5000 0.2205 0.4410

Calculated values
E above lowest polymorph = 0 meV per atom
DOS(E_F) = 21.18 states/eV per cell
energy of formation = -119 meV per atom
space-group type = Fmmm



No. 2
DFT (PBE) results for a relaxed TaVPd crystal.

Lattice parameters (Å, degrees): 3.2125 3.2125 5.1609 108.13 108.13 90.00
Last column: magnetic moment on the atom in μB.
Element x y z (fractional)
V1 0.3295 0.3295 0.6589  0.68
Pd1 0.9969 0.9969 0.9937  0.08
Ta1 0.6737 0.6737 0.3474  0.04

Calculated values
E above lowest polymorph = 195 meV per atom
DOS(E_F) = 4.49 states/eV per cell
energy of formation = -37 meV per atom
space-group type = I4mm



No. 3
DFT (PBE) results for a relaxed Cd2HgPt crystal.

Lattice parameters (Å, degrees): 4.7970 4.7970 4.7970 60.00 60.00 60.00
Element x y z (fractional)
Hg1 0.5000 0.5000 0.5000
Pt1 0.7500 0.7500 0.7500
Cd1 0.0000 0.0000 0.0000
Cd2 0.2500 0.2500 0.2500

Calculated values
DOS(E_F) = 1.91 states/eV per cell
energy of formation = -36 meV per atom
space-group type = F-43m



No. 4
DFT (PBE) results for a relaxed TiIn3Pd crystal.

Lattice parameters (Å, degrees): 5.0570 5.0570 5.0570 90.00 90.00 90.00
Element x y z (fractional)
Ti1 0.5000 0.5000 0.5000
Pd1 0.0000 0.0000 0.0000
In1 0.0000 0.5000 0.0000
In2 0.0000 0.0000 0.5000
In3 0.5000 0.0000 0.0000

Calculated values
E above lowest polymorph = 0 meV per atom
DOS(E_F) = 4.29 states/eV per cell
energy of formation = 400 meV per atom
space-group type = Pm-3m



No. 5
DFT (PBE) results for a relaxed ErFeSi3Ir crystal.

Lattice parameters (Å, degrees): 5.5940 6.0907 6.9458 116.00 90.00 90.00
Element x y z (fractional)
Er1 0.7500 0.1974 0.3948
Er2 0.2500 0.8026 0.6052
Fe1 0.2500 0.0315 0.0629
Fe2 0.7500 0.9685 0.9371
Si1 0.2500 0.2005 0.4009
Si2 0.0000 0.2886 0.0000
Si3 0.5000 0.7114 0.0000
Si4 0.5000 0.2886 0.0000
Si5 0.0000 0.7114 0.0000
Si6 0.7500 0.7995 0.5991
Ir1 0.2500 0.3804 0.7608
Ir2 0.7500 0.6196 0.2392

Calculated values
DOS(E_F) = 7.53 states/eV per cell
formation energy without anion corrections = -0.43 eV/atom
space-group type = Cmcm



No. 6
DFT (PBE) results for a relaxed Cs3K4Au crystal.

Lattice parameters (Å, degrees): 9.1618 8.2944 15.4771 90.00 90.00 90.00
Element x y z (fractional)
Cs1 0.5507 0.0000 0.0000
Cs2 0.4493 0.5000 0.5000
Cs3 0.8199 0.5000 0.7680
Cs4 0.8199 0.5000 0.2320
Cs5 0.1801 0.0000 0.7320
Cs6 0.1801 0.0000 0.2680
K1 0.3808 0.5000 0.8601
K2 0.3808 0.5000 0.1399
K3 0.9913 0.2507 0.0000
K4 0.9913 0.7493 0.0000
K5 0.0087 0.7507 0.5000
K6 0.0087 0.2493 0.5000
K7 0.6192 0.0000 0.3601
K8 0.6192 0.0000 0.6399
Au1 0.6853 0.5000 0.0000
Au2 0.3147 0.0000 0.5000

Calculated values
DOS(E_F) = 11.48 states/eV per cell
energy of formation = -63 meV per atom
space-group type = Pmmn